Here is YTlCuHg2 after structural relaxation from Alexandria. Energies are from GGA-PBE.

```
data_YTlCuHg2
_cell_length_a 5.817
_cell_length_b 5.817
_cell_length_c 6.141
_cell_angle_alpha 90.00
_cell_angle_beta 90.00
_cell_angle_gamma 90.00
_space_group_name_H-M_alt 'P 4/m m m'
_space_group_IT_number 123
_space_group_name_Hall '-P 4 2'
loop_
_atom_site_label
_atom_site_fract_x
_atom_site_fract_y
_atom_site_fract_z
_atom_site_occupancy
Y1 0.000 0.000 0.000 1
Tl1 0.000 0.000 0.500 1
Cu1 0.500 0.500 0.500 1
Hg1 0.000 0.500 0.000 1
```

## Properties
Size of the total moment (μB/f.u.): 0.26
V (Å³ per cell): 207.8
Formation enthalpy at 0 K (eV/atom): 0.80
DOS(E_F) (states/eV per atom): 1.1832